1.
Material: LaSn2TeAs
Method: DFT, GGA-PBE
State: optimized geometry

Unit cell a=5.3594 b=5.3594 c=5.6578 alpha=90.00 beta=90.00 gamma=90.00
Last column: nearest neighbours and their distance in Å.
Sites, in units of the cell vectors:
La: 0.0000 0.0000 0.0000  4 Te 3.79, 8 Sn 3.90
Sn: 0.0000 0.5000 0.5000  2 As 2.68
Sn: 0.5000 0.0000 0.5000  2 As 2.68
Te: 0.5000 0.5000 0.0000  2 As 2.83
As: 0.5000 0.5000 0.5000  4 Sn 2.68, 2 Te 2.83

Calculated values
Space group: P4/mmm
Calculated volume: 162.51 Å³/f.u.
Uncorrected formation energy: -44 meV/atom
DOS(E_F): 4.750 states/eV/cell
E: -4.189 eV/atom

=====

2.
Material: ReB3Cl
Method: DFT, GGA-PBE
State: optimized geometry

Unit cell a=4.2334 b=4.2334 c=4.2334 alpha=90.00 beta=90.00 gamma=90.00
Last column: nearest neighbours and their distance in Å.
Sites, in units of the cell vectors:
Re: 0.0000 0.0000 0.0000  6 B 2.12
B: 0.0000 0.0000 0.5000  2 Re 2.12
B: 0.0000 0.5000 0.0000  2 Re 2.12
B: 0.5000 0.0000 0.0000  2 Re 2.12
Cl: 0.5000 0.5000 0.5000  12 B 2.99

Calculated values
Space group: Pm-3m
Distance to the lowest polymorph of the same formula: 0.0000 eV per atom
Calculated volume: 75.87 Å³/f.u.
Uncorrected formation energy: 1409 meV/atom
DOS(E_F): 9.701 states/eV/cell
E: -5.457 eV/atom

=====

3.
Material: Sr2HfCd2
Method: DFT, GGA-PBE
State: optimized geometry

Unit cell a=7.7256 b=7.7256 c=5.3309 alpha=90.00 beta=90.00 gamma=90.00
Last column: nearest neighbours and their distance in Å.
Sites, in units of the cell vectors:
Sr: 0.1773 0.3227 0.0000  6 Cd 3.36-3.61
Sr: 0.3227 0.8227 0.0000  6 Cd 3.36-3.61
Sr: 0.6773 0.1773 0.0000  6 Cd 3.36-3.61
Sr: 0.8227 0.6773 0.0000  6 Cd 3.36-3.61
Hf: 0.0000 0.0000 0.5000  4 Cd 3.01
Hf: 0.5000 0.5000 0.5000  4 Cd 3.01
Cd: 0.1348 0.6348 0.5000  1 Cd 2.95, 2 Hf 3.01
Cd: 0.3652 0.1348 0.5000  1 Cd 2.95, 2 Hf 3.01
Cd: 0.6348 0.8652 0.5000  1 Cd 2.95, 2 Hf 3.01
Cd: 0.8652 0.3652 0.5000  1 Cd 2.95, 2 Hf 3.01

Calculated values
Space group: P4/mbm
Calculated volume: 159.09 Å³/f.u.
Energy of formation from the pure elements: 12.9 kJ/mol of atoms
DOS(E_F): 8.884 states/eV/cell
E: -2.896 eV/atom

=====

4.
Material: LiLaCrN3
Method: DFT, GGA-PBE
State: optimized geometry

Unit cell a=5.5723 b=5.5723 c=6.3646 alpha=112.63 beta=112.63 gamma=66.30
Last column: nearest neighbours and their distance in Å.
Sites, in units of the cell vectors:
Li: 0.1714 0.8286 0.0000  2 N 1.95, 1 Li 2.09
Li: 0.8286 0.1714 0.0000  2 N 1.95, 1 Li 2.09
La: 0.2053 0.2053 0.6772  5 N 2.59-2.61
La: 0.7947 0.7947 0.3228  5 N 2.59-2.61
Cr: 0.4484 0.4484 0.2845  3 N 1.71
Cr: 0.5516 0.5516 0.7155  3 N 1.71
N: 0.2083 0.6695 0.6786  1 Cr 1.71
N: 0.2437 0.2437 0.1087  1 Cr 1.71
N: 0.3305 0.7917 0.3214  1 Cr 1.71
N: 0.6695 0.2083 0.6786  1 Cr 1.71
N: 0.7563 0.7563 0.8913  1 Cr 1.71
N: 0.7917 0.3305 0.3214  1 Cr 1.71

Calculated values
Space group: C2/m
Calculated volume: 80.36 Å³/f.u.
Uncorrected formation energy: -714 meV/atom
E: -7.620 eV/atom